Entry 1:
KSbAu3 | the Alexandria database | GGA-PBE | optimized geometry; energy = -3.219 eV per atom; N(E_F) = 2.9 states/eV/cell; ΔE to the lowest computed polymorph = 0 meV per atom; magnetic moment = 0.00 μB/cell; crystal system = orthorhombic
1.0
6.8826 0.0000 0.0000
0.0000 6.5546 0.0000
0.0000 0.0000 6.6880
K Sb Au
2 2 6
direct
0.0000 0.1287 0.0000
0.5000 0.8713 0.5000
0.0000 0.6478 0.3330
0.5000 0.3522 0.8330
0.0000 0.0229 0.4815
0.2029 0.3772 0.5847
0.2971 0.6228 0.0847
0.5000 0.9771 0.9815
0.7029 0.6228 0.0847
0.7971 0.3772 0.5847

---

Entry 2:
K4SbAu | the Alexandria database | GGA-PBE | optimized geometry; energy = -1.807 eV per atom; N(E_F) = 4.1 states/eV/cell; magnetic moment = 0.00 μB/cell; crystal system = cubic
1.0
0.0000 4.7504 4.7504
4.7504 0.0000 4.7504
4.7504 4.7504 0.0000
K Sb Au
4 1 1
direct
0.3756 0.3756 0.3756
0.3756 0.3756 0.8731
0.3756 0.8731 0.3756
0.8731 0.3756 0.3756
0.0000 0.0000 0.0000
0.7500 0.7500 0.7500

---

Entry 3:
KSb2Au2 | the Alexandria database | GGA-PBE | optimized geometry; energy = -3.273 eV per atom; N(E_F) = 2.4 states/eV/cell; magnetic moment = 0.00 μB/cell; crystal system = tetragonal
1.0
8.6844 0.0000 0.0000
0.0000 8.6844 0.0000
0.0000 0.0000 3.3313
K Sb Au
2 4 4
direct
0.0000 0.0000 0.0000
0.5000 0.5000 0.0000
0.1496 0.3504 0.5000
0.3504 0.8504 0.5000
0.6496 0.1496 0.5000
0.8504 0.6496 0.5000
0.1473 0.6473 0.0000
0.3527 0.1473 0.0000
0.6473 0.8527 0.0000
0.8527 0.3527 0.0000